[1]
First-principles (PBE-GGA) data for a relaxed LiScBe2 crystal, as listed in the Alexandria database.

Cell: 2.9557 2.9578 6.2828 Å, 90.00 90.00 90.00°
Positions (direct):
1 Be 0.0000 0.0000 0.0389
2 Be 0.0000 0.0000 0.4611
3 Li 0.5000 0.5000 0.2500
4 Sc 0.5000 0.5000 0.7500

## Properties
- Excess energy over the best structure of this formula in the dataset: 0.133 eV per atom



[2]
First-principles (PBE-GGA) data for a relaxed Li3ScBe crystal, as listed in the Alexandria database.

Cell: 4.4615 4.4615 4.4615 Å, 90.00 90.00 90.00°
Positions (direct):
1 Sc 0.5000 0.5000 0.5000
2 Be 0.0000 0.0000 0.0000
3 Li 0.0000 0.5000 0.0000
4 Li 0.0000 0.0000 0.5000
5 Li 0.5000 0.0000 0.0000

## Properties
- Excess energy over the best structure of this formula in the dataset: 0.000 eV per atom



[3]
First-principles (PBE-GGA) data for a relaxed LiSc2Be crystal, as listed in the Alexandria database.

Cell: 9.2846 9.2846 9.2846 Å, 19.62 19.62 19.62°
Positions (direct):
1 Be 0.4974 0.4974 0.4974
2 Li 0.7655 0.7655 0.7655
3 Sc 0.0014 0.0014 0.0014
4 Sc 0.2358 0.2358 0.2358



Number 1: V 13.73 Å³ per atom, magnetic moment 0.0 μB per formula unit, formation enthalpy at 0 K 0.80 eV per formula unit. Number 2: V 17.76 Å³ per atom, magnetic moment 0.0 μB per formula unit, formation enthalpy at 0 K 2.28 eV per formula unit. Number 3: V 19.74 Å³ per atom, magnetic moment 0.2 μB per formula unit, formation enthalpy at 0 K 1.28 eV per formula unit.